Entry 1:
A plane-wave DFT calculation with PBE-GGA was carried out for a relaxed structure of CsP2HO.

```
CsP2HO
1.0
-1.997 -2.042 2.281
2.915 -0.435 2.162
-2.061 6.602 4.107
P H O Cs
2 1 1 1
Direct
0.500 0.000 0.000 P
0.000 0.500 0.000 P
0.000 0.000 0.000 H
0.000 0.000 0.500 O
0.500 0.500 0.500 Cs
```

Size of the total moment in μB/f.u.: 0.0

Entry 2:
A plane-wave DFT calculation with PBE-GGA was carried out for a relaxed structure of TePAu2.

```
TePAu2
1.0
-1.525 1.960 7.324
1.525 -1.960 7.324
1.525 1.960 -7.324
Au Te P
2 1 1
Direct
0.030 0.030 0.000 Au
0.325 0.825 0.500 Au
0.686 0.186 0.500 Te
0.459 0.459 0.000 P
```

ΔE_f (raw) in eV per atom: 0.246
Energy relative to the lowest polymorph listed for this composition in eV per atom: 0.187
Size of the total moment in μB/f.u.: 0.0

Entry 3:
A plane-wave DFT calculation with PBE-GGA was carried out for a relaxed structure of ReIr4Os.

```
ReIr4Os
1.0
4.126 0.000 0.000
2.063 3.927 -0.192
2.063 0.123 6.356
Re Ir Os
1 4 1
Direct
0.500 0.500 0.500 Re
0.374 0.364 0.887 Ir
0.626 0.636 0.113 Ir
0.123 0.141 0.612 Ir
0.877 0.859 0.388 Ir
0.000 0.000 0.000 Os
```

Energy relative to the lowest polymorph listed for this composition in eV per atom: 0.407
Size of the total moment in μB/f.u.: 0.0

What are the total DFT energy (no corrections) values for these records? In order: -3.5271; -3.5310; -9.3731 eV per atom.